Density functional theory data (PBE with a Hubbard U) for a relaxed KPm2Fe2O6 crystal.

VASP energy: -6.891 eV/atom
total moment: 0.823 μB per atom

```
11
Lattice="-2.335 -2.698 -5.213 -2.758 -5.747 1.323 -3.836 4.788 -2.026" Properties=species:S:1:pos:R:3 pbc="T T T"
O -4.232 -4.202 -4.392
Pm -6.036 -0.455 -5.515
K -3.085 1.045 -3.620
O -4.696 0.545 -1.524
Pm -2.892 -3.201 -0.402
O -3.778 -1.030 -5.093
Fe -3.592 -2.475 -3.946
O -2.355 -2.962 -2.640
Fe -5.336 -1.182 -1.971
O -5.150 -2.626 -0.823
O -6.573 -0.694 -3.276
```